(1)
An optimized crystal structure of Ce3TmTl4Se8. Source: Alexandria via LeMat-Bulk, functional GGA-PBE.

It has space group C2/m (No. 12), with a = 14.886 Å, b = 8.599 Å, c = 9.193 Å, α = 90.00°, β = 122.63° and γ = 90.00°. The inequivalent atoms are Ce at (0.000, 0.000, 0.000), Ce at (0.250, 0.250, 0.000), Tm at (0.000, 0.500, 0.000), Tl at (0.000, 0.000, 0.500), Tl at (0.000, 0.500, 0.500), Tl at (0.250, 0.250, 0.500), Se at (0.012, 0.259, 0.794), Se at (0.230, 0.500, 0.206) and Se at (0.237, 0.000, 0.211).

For the formation energy (no corrections), the calculation gives -21.72 eV per formula unit. For the uncorrected energy, the calculation gives -5.08 eV per atom. The calculation puts the density of states at the Fermi level at 37.1 states/eV/cell.

(2)
An optimized crystal structure of KTaTe2I. Source: Alexandria via LeMat-Bulk, functional GGA-PBE.

It has space group P4/mmm (No. 123), with a = 5.449 Å, b = 5.449 Å, c = 6.021 Å, α = 90.00°, β = 90.00° and γ = 90.00°. The inequivalent atoms are K at (0.000, 0.000, 0.000), Ta at (0.500, 0.500, 0.500), Te at (0.000, 0.500, 0.500) and I at (0.500, 0.500, 0.000).

The energy relative to the lowest polymorph listed for this composition comes out at 0 meV/atom. For the formation energy (no corrections), the calculation gives -1.72 eV per formula unit. For the uncorrected energy, the calculation gives -4.50 eV per atom. The calculation puts the density of states at the Fermi level at 3.7 states/eV/cell.

(3)
An optimized crystal structure of ZrTaZnOs2. Source: Alexandria via LeMat-Bulk, functional GGA-PBE.

It has space group P4/mmm (No. 123), with a = 4.736 Å, b = 4.736 Å, c = 4.761 Å, α = 90.00°, β = 90.00° and γ = 90.00°. The inequivalent atoms are Zr at (0.000, 0.000, 0.000), Ta at (0.500, 0.500, 0.500), Zn at (0.500, 0.500, 0.000) and Os at (0.000, 0.500, 0.500).

For the uncorrected energy, the calculation gives -7.54 eV per atom. The calculation puts the density of states at the Fermi level at 4.3 states/eV/cell.

(4)
An optimized crystal structure of FeSCl2. Source: Alexandria via LeMat-Bulk, functional GGA-PBE.

It has space group R-3m (No. 166, hexagonal axes), with a = 2.8498 Å, b = 2.8498 Å, c = 34.8036 Å, α = 90.00°, β = 90.00° and γ = 120.00°. The inequivalent atoms are Fe at (0.0000, 0.0000, 0.0000), S at (0.0000, 0.0000, 0.5000) and Cl at (0.0000, 0.0000, 0.0595).

The energy relative to the lowest polymorph listed for this composition comes out at 347 meV/atom. For the formation energy (no corrections), the calculation gives 2.33 eV per formula unit. For the uncorrected energy, the calculation gives -3.49 eV per atom. The calculation puts the density of states at the Fermi level at 21.2 states/eV/cell.

(5)
An optimized crystal structure of Ni2TePb. Source: Alexandria via LeMat-Bulk, functional GGA-PBE.

It has space group Imm2 (No. 44), with a = 3.389 Å, b = 3.920 Å, c = 12.728 Å, α = 90.00°, β = 90.00° and γ = 90.00°. The inequivalent atoms are Ni at (0.000, 0.000, 0.000), Ni at (0.000, 0.500, 0.118), Te at (0.000, 0.000, 0.461) and Pb at (0.000, 0.500, 0.703).

The energy relative to the lowest polymorph listed for this composition comes out at 152 meV/atom. For the formation energy (no corrections), the calculation gives 0.28 eV per formula unit. For the uncorrected energy, the calculation gives -4.53 eV per atom. The calculation puts the density of states at the Fermi level at 5.0 states/eV/cell.

(6)
An optimized crystal structure of Ca2PrRu. Source: Alexandria via LeMat-Bulk, functional GGA-PBE.

It has space group Pnma (No. 62), with a = 7.644 Å, b = 9.711 Å, c = 6.467 Å, α = 90.00°, β = 90.00° and γ = 90.00°. The inequivalent atoms are Ca at (0.170, 0.067, 0.159), Pr at (0.045, 0.250, 0.639) and Ru at (0.129, 0.750, 0.988).

The energy relative to the lowest polymorph listed for this composition comes out at 8 meV/atom. For the uncorrected energy, the calculation gives -4.56 eV per atom. The calculation puts the density of states at the Fermi level at 11.9 states/eV/cell.